1.
## BaMnMo2 (PBE)

Data for a geometry-optimized BaMnMo2 structure.

Output
For the excess energy over the best structure of this formula in the dataset, the calculation gives 0.485 eV per atom. The value obtained for the volume is 20.1 Å³/atom. The value obtained for the density of states at the Fermi level is 10.6 states/eV per cell. As for the energy of formation: 1.113 eV/atom.

```
data_BaMnMo2
_chemical_formula_sum 'Ba2 Mn2 Mo4'
_space_group_name_H-M_alt 'I m m m'
_space_group_IT_number 71
_space_group_name_Hall '-I 2 2'
_cell_length_a 2.872
_cell_length_b 5.314
_cell_length_c 10.516
_cell_angle_alpha 90.00
_cell_angle_beta 90.00
_cell_angle_gamma 90.00
loop_
_atom_site_label
_atom_site_type_symbol
_atom_site_fract_x
_atom_site_fract_y
_atom_site_fract_z
_atom_site_occupancy
Ba1 Ba 0.000 0.000 0.000 1
Mn1 Mn 0.000 0.000 0.500 1
Mo1 Mo 0.000 0.500 0.204 1
```

---

2.
## BaMnMo2 (PBE)

Data for a geometry-optimized BaMnMo2 structure.

Output
For the excess energy over the best structure of this formula in the dataset, the calculation gives 0.652 eV per atom. The value obtained for the volume is 25.9 Å³/atom. The value obtained for the density of states at the Fermi level is 23.5 states/eV per cell. As for the energy of formation: 1.280 eV/atom.

```
data_BaMnMo2
_chemical_formula_sum 'Ba4 Mn4 Mo8'
_space_group_name_H-M_alt 'I 41/a m d'
_space_group_IT_number 141
_cell_length_a 5.082
_cell_length_b 5.082
_cell_length_c 16.036
_cell_angle_alpha 90.00
_cell_angle_beta 90.00
_cell_angle_gamma 90.00
loop_
_space_group_symop_operation_xyz
'x,y,z'
'-x,-y,-z'
'-y+1/4,x+3/4,z+1/4'
'y+1/4,-x+3/4,-z+1/4'
'-x+1/2,-y,z+1/2'
'x+1/2,y,-z+1/2'
'y+1/4,-x+1/4,z+3/4'
'-y+1/4,x+1/4,-z+3/4'
'x,-y,-z'
'-x,y,z'
'-y+1/4,-x+1/4,-z+3/4'
'y+1/4,x+1/4,z+3/4'
'-x+1/2,y,-z+1/2'
'x+1/2,-y,z+1/2'
'y+1/4,x+3/4,-z+1/4'
'-y+1/4,-x+3/4,z+1/4'
'x+1/2,y+1/2,z+1/2'
'-x+1/2,-y+1/2,-z+1/2'
'-y+3/4,x+1/4,z+3/4'
'y+3/4,-x+1/4,-z+3/4'
'-x,-y+1/2,z'
'x,y+1/2,-z'
'y+3/4,-x+3/4,z+1/4'
'-y+3/4,x+3/4,-z+1/4'
'x+1/2,-y+1/2,-z+1/2'
'-x+1/2,y+1/2,z+1/2'
'-y+3/4,-x+3/4,-z+1/4'
'y+3/4,x+3/4,z+1/4'
'-x,y+1/2,-z'
'x,-y+1/2,z'
'y+3/4,x+1/4,-z+3/4'
'-y+3/4,-x+1/4,z+3/4'
loop_
_atom_site_label
_atom_site_type_symbol
_atom_site_fract_x
_atom_site_fract_y
_atom_site_fract_z
_atom_site_occupancy
Ba1 Ba 0.000 0.250 0.375 1
Mn1 Mn 0.000 0.250 0.875 1
Mo1 Mo 0.000 0.000 0.000 1
```

---

3.
## BaMn3Mo (PBE)

Data for a geometry-optimized BaMn3Mo structure.

Output
For the excess energy over the best structure of this formula in the dataset, the calculation gives 1.643 eV per atom. The value obtained for the volume is 26.0 Å³/atom. The value obtained for the density of states at the Fermi level is 3.7 states/eV per cell. As for the energy of formation: 2.503 eV/atom.

```
data_BaMn3Mo
_chemical_formula_sum 'Ba1 Mn3 Mo1'
_space_group_name_H-M_alt 'P m -3 m'
_space_group_IT_number 221
_space_group_name_Hall '-P 4 2 3'
_cell_length_a 5.066
_cell_length_b 5.066
_cell_length_c 5.066
_cell_angle_alpha 90.00
_cell_angle_beta 90.00
_cell_angle_gamma 90.00
loop_
_atom_site_label
_atom_site_type_symbol
_atom_site_fract_x
_atom_site_fract_y
_atom_site_fract_z
_atom_site_occupancy
Ba1 Ba 0.000 0.000 0.000 1
Mn1 Mn 0.000 0.000 0.500 1
Mo1 Mo 0.500 0.500 0.500 1
```

---

4.
## BaMnMo4 (PBE)

Data for a geometry-optimized BaMnMo4 structure.

Output
The value obtained for the volume is 19.5 Å³/atom. The value obtained for the density of states at the Fermi level is 24.3 states/eV per cell. As for the energy of formation: 0.919 eV/atom.

```
data_BaMnMo4
_chemical_formula_sum 'Ba4 Mn4 Mo16'
_space_group_name_H-M_alt 'F -4 3 m'
_space_group_IT_number 216
_space_group_name_Hall 'F -4 2 3'
_cell_length_a 7.761
_cell_length_b 7.761
_cell_length_c 7.761
_cell_angle_alpha 90.00
_cell_angle_beta 90.00
_cell_angle_gamma 90.00
loop_
_atom_site_label
_atom_site_type_symbol
_atom_site_fract_x
_atom_site_fract_y
_atom_site_fract_z
_atom_site_occupancy
Ba1 Ba 0.000 0.000 0.000 1
Mn1 Mn 0.250 0.250 0.750 1
Mo1 Mo 0.125 0.125 0.375 1
```

---

5.
## BaMnMo2 (PBE)

Data for a geometry-optimized BaMnMo2 structure.

Output
For the excess energy over the best structure of this formula in the dataset, the calculation gives 0.275 eV per atom. The value obtained for the volume is 21.8 Å³/atom. The value obtained for the density of states at the Fermi level is 15.1 states/eV per cell. As for the energy of formation: 0.903 eV/atom.

```
data_BaMnMo2
_chemical_formula_sum 'Ba3 Mn3 Mo6'
_space_group_name_H-M_alt 'R 3 m'
_space_group_IT_number 160
_space_group_name_Hall 'R 3 -2"'
_cell_length_a 3.2317
_cell_length_b 3.2317
_cell_length_c 28.9296
_cell_angle_alpha 90.00
_cell_angle_beta 90.00
_cell_angle_gamma 120.00
loop_
_atom_site_label
_atom_site_type_symbol
_atom_site_fract_x
_atom_site_fract_y
_atom_site_fract_z
_atom_site_occupancy
Ba1 Ba 0.0000 0.0000 0.0000 1
Mn1 Mn 0.0000 0.0000 0.7692 1
Mo1 Mo 0.0000 0.0000 0.2298 1
Mo2 Mo 0.0000 0.0000 0.5037 1
```

---

6.
## BaMnMo2 (PBE)

Data for a geometry-optimized BaMnMo2 structure.

Output
For the excess energy over the best structure of this formula in the dataset, the calculation gives 0.658 eV per atom. The value obtained for the volume is 19.5 Å³/atom. The value obtained for the density of states at the Fermi level is 5.8 states/eV per cell. As for the energy of formation: 1.287 eV/atom.

```
data_BaMnMo2
_chemical_formula_sum 'Ba1 Mn1 Mo2'
_space_group_name_H-M_alt 'P m m m'
_space_group_IT_number 47
_space_group_name_Hall '-P 2 2'
_cell_length_a 3.189
_cell_length_b 4.801
_cell_length_c 5.103
_cell_angle_alpha 90.00
_cell_angle_beta 90.00
_cell_angle_gamma 90.00
loop_
_atom_site_label
_atom_site_type_symbol
_atom_site_fract_x
_atom_site_fract_y
_atom_site_fract_z
_atom_site_occupancy
Ba1 Ba 0.000 0.000 0.000 1
Mn1 Mn 0.500 0.500 0.000 1
Mo1 Mo 0.000 0.500 0.500 1
Mo2 Mo 0.500 0.000 0.500 1
```

---

7.
## BaNaMn2Mo (PBE)

Data for a geometry-optimized BaNaMn2Mo structure.

Output
The value obtained for the volume is 27.2 Å³/atom. The value obtained for the density of states at the Fermi level is 4.8 states/eV per cell. As for the energy of formation: 1.669 eV/atom.

```
data_BaNaMn2Mo
_chemical_formula_sum 'Ba1 Na1 Mn2 Mo1'
_space_group_name_H-M_alt 'P 4/m m m'
_space_group_IT_number 123
_space_group_name_Hall '-P 4 2'
_cell_length_a 5.108
_cell_length_b 5.108
_cell_length_c 5.219
_cell_angle_alpha 90.00
_cell_angle_beta 90.00
_cell_angle_gamma 90.00
loop_
_atom_site_label
_atom_site_type_symbol
_atom_site_fract_x
_atom_site_fract_y
_atom_site_fract_z
_atom_site_occupancy
Ba1 Ba 0.000 0.000 0.000 1
Na1 Na 0.500 0.500 0.500 1
Mn1 Mn 0.000 0.500 0.500 1
Mo1 Mo 0.500 0.500 0.000 1
```

---

8.
## BaNaMnMo2 (PBE)

Data for a geometry-optimized BaNaMnMo2 structure.

Output
The value obtained for the volume is 26.7 Å³/atom. The value obtained for the density of states at the Fermi level is 8.8 states/eV per cell. As for the energy of formation: 3.050 eV/atom.

```
data_BaNaMnMo2
_chemical_formula_sum 'Ba1 Na1 Mn1 Mo2'
_space_group_name_H-M_alt 'P 4/m m m'
_space_group_IT_number 123
_space_group_name_Hall '-P 4 2'
_cell_length_a 5.102
_cell_length_b 5.102
_cell_length_c 5.131
_cell_angle_alpha 90.00
_cell_angle_beta 90.00
_cell_angle_gamma 90.00
loop_
_atom_site_label
_atom_site_type_symbol
_atom_site_fract_x
_atom_site_fract_y
_atom_site_fract_z
_atom_site_occupancy
Ba1 Ba 0.000 0.000 0.000 1
Na1 Na 0.000 0.000 0.500 1
Mn1 Mn 0.500 0.500 0.500 1
Mo1 Mo 0.000 0.500 0.000 1
```

---

no.,ρ (g/cm3)
1,7.95
2,6.16
3,5.08
4,8.18
5,7.31
6,8.16
7,4.46
8,5.06